[1]
{
  "formula": "Pu2TeH",
  "functional": "PBE",
  "state": "relaxed",
  "lattice_angstrom": [[-3.414, -2.802, -0.226], [1.773, -2.424, 3.246], [-4.313, 4.828, 5.919]],
  "species": ["H", "H", "Pu", "Pu", "Pu", "Pu", "Te", "Te"],
  "fractional_positions": [[0.249, 0.249, 0.400], [0.751, 0.751, 0.600], [0.248, 0.248, 0.137], [0.750, 0.250, 0.500], [0.250, 0.750, 0.500], [0.752, 0.752, 0.863], [0.252, 0.252, 0.776], [0.748, 0.748, 0.224]],
  "polymorph_energy_mev_per_atom": 0
}

---

[2]
{
  "formula": "Pu2TeH2",
  "functional": "PBE",
  "state": "relaxed",
  "lattice_angstrom": [[-5.456, 2.337, 0.280], [0.987, -5.109, 2.869], [3.731, 4.317, 3.130]],
  "species": ["Te", "Te", "H", "H", "H", "H", "Pu", "Pu", "Pu", "Pu"],
  "fractional_positions": [[0.125, 0.875, 0.250], [0.875, 0.125, 0.750], [0.745, 0.495, 0.490], [0.504, 0.255, 0.010], [0.496, 0.745, 0.990], [0.255, 0.505, 0.510], [0.801, 0.199, 0.250], [0.551, 0.448, 0.750], [0.199, 0.801, 0.750], [0.449, 0.552, 0.250]],
  "polymorph_energy_mev_per_atom": 13
}

---

[3]
{
  "formula": "Pu4Te3H2",
  "functional": "PBE",
  "state": "relaxed",
  "lattice_angstrom": [[4.388, 0.000, 0.000], [-2.194, 5.679, -0.220], [0.000, -2.596, 8.315]],
  "species": ["H", "H", "Te", "Te", "Te", "Pu", "Pu", "Pu", "Pu"],
  "fractional_positions": [[0.307, 0.615, 0.626], [0.693, 0.385, 0.374], [0.617, 0.233, 0.693], [0.383, 0.767, 0.307], [0.000, 0.000, 0.000], [0.298, 0.595, 0.889], [0.702, 0.405, 0.111], [0.881, 0.761, 0.599], [0.119, 0.239, 0.401]],
  "energy_ev_per_atom": -8.94
}

---

[4]
{
  "formula": "Pu2TeH3",
  "functional": "PBE",
  "state": "relaxed",
  "lattice_angstrom": [[-1.591, 1.009, -3.490], [-1.663, -2.863, 2.184], [-7.883, 9.394, 6.311]],
  "species": ["H", "H", "H", "H", "H", "H", "Te", "Te", "Pu", "Pu", "Pu", "Pu"],
  "fractional_positions": [[0.333, 0.667, 0.427], [0.000, 0.000, 0.000], [0.000, 0.000, 0.500], [0.667, 0.333, 0.927], [0.667, 0.333, 0.573], [0.333, 0.667, 0.073], [0.000, 0.000, 0.750], [0.000, 0.000, 0.250], [0.667, 0.333, 0.407], [0.333, 0.667, 0.593], [0.667, 0.333, 0.093], [0.333, 0.667, 0.907]],
  "energy_ev_per_atom": -7.62
}

---

[5]
{
  "formula": "TmPuTe2H",
  "functional": "PBE",
  "state": "relaxed",
  "lattice_angstrom": [[-3.660, -2.009, -0.588], [1.059, -2.798, 2.971], [-5.771, 7.768, 9.375]],
  "species": ["Pu", "Pu", "H", "H", "Te", "Te", "Te", "Te", "Tm", "Tm"],
  "fractional_positions": [[0.500, 0.000, 0.576], [0.000, 0.500, 0.424], [0.500, 0.500, 0.500], [0.000, 0.000, 0.500], [0.000, 0.500, 0.670], [0.500, 0.000, 0.871], [0.500, 0.000, 0.330], [0.000, 0.500, 0.129], [0.000, 0.500, 0.902], [0.500, 0.000, 0.098]],
  "energy_ev_per_atom": -6.69
}

---

[6]
{
  "formula": "YPuTe2H",
  "functional": "PBE",
  "state": "relaxed",
  "lattice_angstrom": [[4.250, 0.000, 0.000], [0.000, 4.250, 0.000], [0.000, 0.000, 13.549]],
  "species": ["Y", "Y", "H", "H", "Te", "Te", "Te", "Te", "Pu", "Pu"],
  "fractional_positions": [[0.500, 0.000, 0.099], [0.000, 0.500, 0.901], [0.500, 0.500, 0.500], [0.000, 0.000, 0.500], [0.000, 0.500, 0.132], [0.500, 0.000, 0.333], [0.000, 0.500, 0.667], [0.500, 0.000, 0.868], [0.500, 0.000, 0.575], [0.000, 0.500, 0.425]],
  "energy_ev_per_atom": -7.13
}

---

Which formula does entry 4 have?
Pu2TeH3